First-principles (PBE with a Hubbard U) data for crystalline CaDyFe4O12 at its relaxed geometry, as listed in the Alexandria database.

POSCAR file:
```
CaDyFe4O12
1.0
7.6165 0.0000 0.0000
0.0000 3.7612 3.7852
0.0000 -3.7612 3.7852
Ca Dy Fe O
1 1 4 12
Cartesian
0.0000 0.0000 0.0000 Ca
3.8082 0.0000 4.1362 Dy
1.8967 -1.8394 2.0616 Fe
1.8967 1.8394 2.0616 Fe
5.7197 -1.8394 2.0616 Fe
5.7197 1.8394 2.0616 Fe
0.0000 -1.6748 2.0429 O
0.0000 1.6748 2.0429 O
1.8122 0.0000 5.6126 O
1.8816 -2.1059 3.9497 O
1.8816 2.1059 3.9497 O
2.2334 0.0000 2.3941 O
3.8082 -1.6552 5.7330 O
3.8082 1.6552 5.7330 O
5.3831 0.0000 2.3941 O
5.7349 -2.1059 3.9497 O
5.7349 2.1059 3.9497 O
5.8043 0.0000 5.6126 O
```

Calculated values
total magnetization: 18.5 μB per formula unit
total energy: -112.3 eV per cell